(1)
Density functional theory data (meta-GGA SCAN) for a crystal of AlGaPd3 relaxed with PBEsol.

Structure (extended XYZ):
```
5
Lattice="-0.326 2.732 3.565 -4.151 1.181 -1.285 -1.715 -3.379 2.432" Properties=species:S:1:pos:R:3 pbc="T T T"
Ga 0.000 0.000 0.000
Pd -2.075 0.591 -0.642
Pd -0.857 -1.690 1.216
Pd -0.163 1.366 1.782
Al -3.096 0.267 2.356
```

Calculated values
ΔH_f (0 K): 0.17 eV per atom
Final energy: -1.7873 Ry/atom
Fermi-level density of states: 1.74 states/eV/f.u.
Mass density: 7.6 g cm⁻³

(2)
Density functional theory data (meta-GGA SCAN) for a crystal of Pm2AlGa relaxed with PBEsol.

Structure (extended XYZ):
```
4
Lattice="5.133 0.000 0.000 2.567 4.446 0.000 2.567 1.482 4.191" Properties=species:S:1:pos:R:3 pbc="T T T"
Al 5.133 2.964 2.096
Ga 0.000 0.000 0.000
Pm 2.567 1.482 1.048
Pm 7.700 4.446 3.144
```

Calculated values
ΔH_f (0 K): -0.52 eV per atom
Final energy: -2.0972 Ry/atom
Fermi-level density of states: 1.13 states/eV/f.u.
Mass density: 6.7 g cm⁻³

(3)
Density functional theory data (meta-GGA SCAN) for a crystal of Al2Ga2Pt relaxed with PBEsol.

Structure (extended XYZ):
```
5
Lattice="3.481 0.000 0.000 0.000 3.481 0.000 -1.741 -1.741 6.873" Properties=species:S:1:pos:R:3 pbc="T T T"
Pt 0.000 0.000 0.000
Ga 0.000 1.741 3.436
Ga 1.741 0.000 3.436
Al 0.000 0.000 5.587
Al 1.741 1.741 1.286
```

Calculated values
ΔH_f (0 K): -0.12 eV per atom
Final energy: -1.7491 Ry/atom
Fermi-level density of states: 1.70 states/eV/f.u.
Mass density: 7.7 g cm⁻³

- Look up the ΔH_f (0 K) of the first one.
  0.17 eV per atom